[1]
A relaxed LiCo2SnAs crystal, computed with PBE.

As for the formation energy: -10.6 kJ/mol of atoms.

Cell: 3.890 3.890 19.486 Å, 90.00 90.00 120.00°
Last column: magnetic moment on the atom in μB.
Positions (direct):
Li  0.333  0.667  0.539  -0.01
Co  0.667  0.333  0.341  1.09
Sn  0.333  0.667  0.108  -0.04
Co  0.333  0.667  0.674  1.09
Co  0.000  0.000  0.699  1.13
Co  0.000  0.000  0.008  1.09
Sn  0.000  0.000  0.442  -0.04
Co  0.667  0.333  0.033  1.13
As  0.667  0.333  0.624  -0.02
Li  0.667  0.333  0.206  -0.01
Co  0.333  0.667  0.366  1.13
Li  0.000  0.000  0.873  -0.01
As  0.000  0.000  0.291  -0.02
As  0.333  0.667  0.958  -0.02
Sn  0.667  0.333  0.775  -0.04

=====

[2]
A relaxed LiCo2SnAs crystal, computed with PBE.

As for the formation energy: -23.7 kJ/mol of atoms.

Cell: 3.960 3.960 5.381 Å, 90.00 90.00 120.00°
Positions (direct):
Co  0.333  0.667  0.871
As  0.667  0.333  0.933
Co  0.000  0.000  0.115
Li  0.000  0.000  0.644
Sn  0.333  0.667  0.373

=====

| no. | calculated total energy (eV/cell) |
| --- | --- |
| 1 | -75.98 |
| 2 | -26.00 |